(1)
VASP calculation (GGA-PBE) on Dy3Ho2Tm6Pu after structural relaxation.

The space group is C2/m (No. 12) and the conventional cell measures 6.0597, 10.4976 and 11.5439 Å, with angles of 90.00, 100.08 and 90.00 degrees. The asymmetric unit holds Dy at (0.0000, 0.0000, 0.0000), Dy at (0.0000, 0.3327, 0.0000), Ho at (0.0000, 0.1666, 0.5000), Tm at (0.2473, 0.3353, 0.7479), Tm at (0.2469, 0.5000, 0.2520) and Pu at (0.0000, 0.5000, 0.5000).

Its density of states at the Fermi level is 47.8 states/eV per cell. The calculation puts the total energy at -0.1948 hartree per atom. For the formation energy, the calculation gives 43 meV/atom.

=====

(2)
VASP calculation (GGA-PBE) on CuRh4W after structural relaxation.

The space group is F-43m (No. 216) and the conventional cell measures 7.1268, 7.1268 and 7.1268 Å, with angles of 90.00, 90.00 and 90.00 degrees. The asymmetric unit holds Cu at (0.0000, 0.0000, 0.0000), Rh at (0.1254, 0.1254, 0.6254) and W at (0.2500, 0.2500, 0.2500).

The calculation puts the energy above the most stable polymorph in this dataset at 339 meV/atom. Its density of states at the Fermi level is 12.2 states/eV per cell. The calculation puts the total energy at -0.2741 hartree per atom. For the formation energy, the calculation gives 285 meV/atom.

=====

(3)
VASP calculation (GGA-PBE) on CrReP2S after structural relaxation.

The space group is P4/mmm (No. 123) and the conventional cell measures 4.4340, 4.4340 and 4.3159 Å, with angles of 90.00, 90.00 and 90.00 degrees. The asymmetric unit holds Cr at (0.0000, 0.0000, 0.0000), Re at (0.5000, 0.5000, 0.5000), P at (0.0000, 0.5000, 0.0000) and S at (0.0000, 0.0000, 0.5000).

The calculation puts the energy above the most stable polymorph in this dataset at 388 meV/atom. Its density of states at the Fermi level is 5.3 states/eV per cell. The calculation puts the total energy at -0.2306 hartree per atom. Its energy relative to the elements, uncorrected is 5.64 eV/f.u.

=====

(4)
VASP calculation (GGA-PBE) on PmNd2Ge3Pt4 after structural relaxation.

The space group is P-4m2 (No. 115) and the conventional cell measures 4.3529, 4.3529 and 11.2356 Å, with angles of 90.00, 90.00 and 90.00 degrees. The asymmetric unit holds Pm at (0.0000, 0.0000, 0.0000), Nd at (0.0000, 0.5000, 0.7189), Ge at (0.0000, 0.5000, 0.3805), Ge at (0.5000, 0.5000, 0.0000), Pt at (0.0000, 0.0000, 0.5000), Pt at (0.0000, 0.5000, 0.1622) and Pt at (0.5000, 0.5000, 0.5000).

Its density of states at the Fermi level is 7.7 states/eV per cell. The calculation puts the total energy at -0.2262 hartree per atom. For the formation energy, the calculation gives -926 meV/atom.

=====

(5)
VASP calculation (GGA-PBE) on Li2ZnSnSe4 after structural relaxation.

The space group is I-4 (No. 82) and the conventional cell measures 5.9786, 5.9786 and 11.4185 Å, with angles of 90.00, 90.00 and 90.00 degrees. The asymmetric unit holds Li at (0.0000, 0.0000, 0.0000), Li at (0.0000, 0.5000, 0.2500), Zn at (0.0000, 0.5000, 0.7500), Sn at (0.0000, 0.0000, 0.5000) and Se at (0.2443, 0.7459, 0.6298).

Its density of states at the Fermi level is 0.0 states/eV per cell. The calculation puts the total energy at -0.1360 hartree per atom. Its energy relative to the elements, uncorrected is -6.56 eV/f.u.

=====

(6)
VASP calculation (GGA-PBE) on Eu2NiH after structural relaxation.

The space group is R-3m (No. 166, hexagonal axes) and the conventional cell measures 3.9296, 3.9296 and 19.3191 Å, with angles of 90.00, 90.00 and 120.00 degrees. The asymmetric unit holds Eu at (0.0000, 0.0000, 0.2447), Ni at (0.0000, 0.0000, 0.0000) and H at (0.0000, 0.0000, 0.5000).

The calculation puts the energy above the most stable polymorph in this dataset at 0 meV/atom. Its density of states at the Fermi level is 37.1 states/eV per cell. The calculation puts the total energy at -0.2788 hartree per atom.

=====

(7)
VASP calculation (GGA-PBE) on Cs2NaWSe4 after structural relaxation.

The space group is Fddd (No. 70, origin choice 2) and the conventional cell measures 6.6624, 14.5506 and 26.0401 Å, with angles of 90.00, 90.00 and 90.00 degrees. The asymmetric unit holds Cs at (0.1250, 0.1250, 0.3045), Na at (0.1250, 0.1250, 0.1250), W at (0.1250, 0.1250, 0.6250) and Se at (0.0748, 0.2775, 0.8214).

Its density of states at the Fermi level is 30.8 states/eV per cell. The calculation puts the total energy at -0.1671 hartree per atom. Its energy relative to the elements, uncorrected is -6.47 eV/f.u.

=====

(8)
VASP calculation (GGA-PBE) on ZrVRh after structural relaxation.

The space group is R-3m (No. 166, hexagonal axes) and the conventional cell measures 3.0238, 3.0238 and 38.4919 Å, with angles of 90.00, 90.00 and 120.00 degrees. The asymmetric unit holds Zr at (0.0000, 0.0000, 0.1326), V at (0.0000, 0.0000, 0.3099) and Rh at (0.0000, 0.0000, 0.4068).

The calculation puts the energy above the most stable polymorph in this dataset at 90 meV/atom. Its density of states at the Fermi level is 24.4 states/eV per cell. The calculation puts the total energy at -0.3083 hartree per atom. For the formation energy, the calculation gives -51 meV/atom.

=====

(9)
VASP calculation (GGA-PBE) on Li2Sm3Ge4 after structural relaxation.

The space group is C2/m (No. 12) and the conventional cell measures 10.9714, 4.2970 and 8.4330 Å, with angles of 90.00, 106.84 and 90.00 degrees. The asymmetric unit holds Li at (0.1667, 0.0000, 0.3389), Sm at (0.0000, 0.5000, 0.0000), Sm at (0.1391, 0.0000, 0.6841), Ge at (0.0709, 0.5000, 0.3964) and Ge at (0.2097, 0.0000, 0.0617).

Its density of states at the Fermi level is 5.7 states/eV per cell. The calculation puts the total energy at -0.1748 hartree per atom. For the formation energy, the calculation gives -705 meV/atom.

=====

(10)
VASP calculation (GGA-PBE) on PuAgH2Cl8 after structural relaxation.

The space group is P-1 (No. 2) and the conventional cell measures 6.8244, 7.2375 and 7.3835 Å, with angles of 88.86, 89.34 and 88.13 degrees. The asymmetric unit holds Pu at (0.0000, 0.0000, 0.0000), Ag at (0.0000, 0.0000, 0.5000), H at (0.2595, 0.3258, 0.6790), Cl at (0.2132, 0.8407, 0.7546), Cl at (0.2180, 0.8475, 0.2473), Cl at (0.2193, 0.2741, 0.9857) and Cl at (0.2646, 0.3275, 0.5024).

Its density of states at the Fermi level is 10.9 states/eV per cell. The calculation puts the total energy at -0.1536 hartree per atom.

=====

(11)
VASP calculation (GGA-PBE) on YPSCl2 after structural relaxation.

The space group is P4/mmm (No. 123) and the conventional cell measures 5.0851, 5.0851 and 5.9017 Å, with angles of 90.00, 90.00 and 90.00 degrees. The asymmetric unit holds Y at (0.0000, 0.0000, 0.0000), P at (0.0000, 0.0000, 0.5000), S at (0.5000, 0.5000, 0.5000) and Cl at (0.0000, 0.5000, 0.0000).

The calculation puts the energy above the most stable polymorph in this dataset at 253 meV/atom. Its density of states at the Fermi level is 3.0 states/eV per cell. The calculation puts the total energy at -0.1594 hartree per atom. Its energy relative to the elements, uncorrected is -1.99 eV/f.u.

=====

(12)
VASP calculation (GGA-PBE) on NaSr2Ca after structural relaxation.

The space group is P4/mmm (No. 123) and the conventional cell measures 4.5045, 4.5045 and 9.2429 Å, with angles of 90.00, 90.00 and 90.00 degrees. The asymmetric unit holds Na at (0.0000, 0.0000, 0.0000), Sr at (0.5000, 0.5000, 0.2415) and Ca at (0.0000, 0.0000, 0.5000).

The calculation puts the energy above the most stable polymorph in this dataset at 0 meV/atom. Its density of states at the Fermi level is 3.1 states/eV per cell. The calculation puts the total energy at -0.0607 hartree per atom. For the formation energy, the calculation gives 18 meV/atom.

=====

(13)
VASP calculation (GGA-PBE) on K3HoU2O9 after structural relaxation.

The space group is P-3m1 (No. 164) and the conventional cell measures 6.0991, 6.0991 and 7.4674 Å, with angles of 90.00, 90.00 and 120.00 degrees. The asymmetric unit holds K at (0.0000, 0.0000, 0.0000), K at (0.3333, 0.6667, 0.6607), Ho at (0.0000, 0.0000, 0.5000), U at (0.3333, 0.6667, 0.1686), O at (0.0000, 0.5000, 0.0000) and O at (0.1741, 0.3482, 0.3236).

Its density of states at the Fermi level is 0.0 states/eV per cell. The calculation puts the total energy at -0.2907 hartree per atom. Its energy relative to the elements, uncorrected is -43.60 eV/f.u.

=====

(14)
VASP calculation (GGA-PBE) on Ac6PrHo after structural relaxation.

The space group is P4/mmm (No. 123) and the conventional cell measures 5.5108, 5.5108 and 11.0340 Å, with angles of 90.00, 90.00 and 90.00 degrees. The asymmetric unit holds Ac at (0.0000, 0.0000, 0.0000), Ac at (0.0000, 0.0000, 0.5000), Ac at (0.0000, 0.5000, 0.2477), Pr at (0.5000, 0.5000, 0.5000) and Ho at (0.5000, 0.5000, 0.0000).

Its density of states at the Fermi level is 12.9 states/eV per cell. The calculation puts the total energy at -0.1552 hartree per atom. For the formation energy, the calculation gives 28 meV/atom.

=====

(15)
VASP calculation (GGA-PBE) on LaNi2Rh2 after structural relaxation.

The space group is P4/mbm (No. 127) and the conventional cell measures 7.3308, 7.3308 and 2.9614 Å, with angles of 90.00, 90.00 and 90.00 degrees. The asymmetric unit holds La at (0.0000, 0.0000, 0.0000), Ni at (0.1661, 0.3339, 0.5000) and Rh at (0.1301, 0.6301, 0.0000).

The calculation puts the energy above the most stable polymorph in this dataset at 111 meV/atom. Its density of states at the Fermi level is 17.0 states/eV per cell. The calculation puts the total energy at -0.2329 hartree per atom. For the formation energy, the calculation gives -99 meV/atom.

=====

(16)
VASP calculation (GGA-PBE) on TlNi2Sn after structural relaxation.

The space group is I-42d (No. 122) and the conventional cell measures 7.0931, 7.0931 and 6.0038 Å, with angles of 90.00, 90.00 and 90.00 degrees. The asymmetric unit holds Tl at (0.0000, 0.0000, 0.0000), Ni at (0.2352, 0.2500, 0.6250) and Sn at (0.0000, 0.0000, 0.5000).

Its density of states at the Fermi level is 10.7 states/eV per cell. The calculation puts the total energy at -0.1508 hartree per atom. For the formation energy, the calculation gives 380 meV/atom.

=====

(17)
VASP calculation (GGA-PBE) on Ce2Pm3Pb4 after structural relaxation.

The space group is Cmce (No. 64) and the conventional cell measures 7.3379, 17.5327 and 9.2611 Å, with angles of 90.00, 90.00 and 90.00 degrees. The asymmetric unit holds Ce at (0.0000, 0.1113, 0.0889), Pm at (0.0000, 0.0000, 0.5000), Pm at (0.2500, 0.2055, 0.7500), Pb at (0.0000, 0.1852, 0.4436) and Pb at (0.2500, 0.0269, 0.7500).

The calculation puts the energy above the most stable polymorph in this dataset at 45 meV/atom. Its density of states at the Fermi level is 77.9 states/eV per cell. The calculation puts the total energy at -0.1801 hartree per atom. For the formation energy, the calculation gives -352 meV/atom.

=====

(18)
VASP calculation (GGA-PBE) on FeCoPd4 after structural relaxation.

The space group is C2/m (No. 12) and the conventional cell measures 4.6503, 8.3066 and 4.6465 Å, with angles of 90.00, 107.44 and 90.00 degrees. The asymmetric unit holds Fe at (0.0000, 0.0000, 0.0000), Co at (0.0000, 0.5000, 0.5000), Pd at (0.0000, 0.1617, 0.5000) and Pd at (0.0000, 0.3388, 0.0000).

The calculation puts the energy above the most stable polymorph in this dataset at 11 meV/atom. Its density of states at the Fermi level is 8.8 states/eV per cell. The calculation puts the total energy at -0.2241 hartree per atom. For the formation energy, the calculation gives -41 meV/atom.

=====

(19)
VASP calculation (GGA-PBE) on Mn3Mo3C after structural relaxation.

The space group is Fd-3m (No. 227, origin choice 2) and the conventional cell measures 11.1216, 11.1216 and 11.1216 Å, with angles of 90.00, 90.00 and 90.00 degrees. The asymmetric unit holds Mn at (0.0000, 0.0000, 0.0000), Mn at (0.0467, 0.0467, 0.2033), Mo at (0.0730, 0.3750, 0.8750) and C at (0.0000, 0.0000, 0.5000).

Its density of states at the Fermi level is 100.8 states/eV per cell. The calculation puts the total energy at -0.3666 hartree per atom. For the formation energy, the calculation gives -87 meV/atom.

=====

(20)
VASP calculation (GGA-PBE) on La8Zn2Pt after structural relaxation.

The space group is Immm (No. 71) and the conventional cell measures 4.9923, 9.0501 and 14.5680 Å, with angles of 90.00, 90.00 and 90.00 degrees. The asymmetric unit holds La at (0.0000, 0.0000, 0.1255), La at (0.0000, 0.2189, 0.3452), La at (0.0000, 0.3386, 0.0000), Zn at (0.0000, 0.5000, 0.2026) and Pt at (0.0000, 0.5000, 0.5000).

The calculation puts the energy above the most stable polymorph in this dataset at 89 meV/atom. Its density of states at the Fermi level is 27.1 states/eV per cell. The calculation puts the total energy at -0.1685 hartree per atom. For the formation energy, the calculation gives -221 meV/atom.